Compound: MnZnTc4
Source: Alexandria via LeMat-Bulk
Functional: PBE
Structure: optimized geometry

Values from the calculation:
Calculated formation energy (eV/atom): 0.40
Total moment (μB per cell): 3.05
DFT total energy (eV per atom): -8.25

Lattice parameters (Å, degrees): 5.1023 5.1023 5.1023 60.00 60.00 60.00
Closest atoms and distances in Å follow each position.
Element x y z (fractional)
1 Mn 0.0000 0.0000 0.0000  12 Tc 2.99, 4 Zn 3.12
2 Zn 0.7500 0.7500 0.7500  12 Tc 2.99, 4 Mn 3.12
3 Tc 0.8748 0.3751 0.3751  6 Tc 2.55
4 Tc 0.3751 0.3751 0.8748  6 Tc 2.55
5 Tc 0.3751 0.8748 0.3751  6 Tc 2.55
6 Tc 0.3751 0.3751 0.3751  6 Tc 2.55

=====

Compound: Te4Pd2Au
Source: Alexandria via LeMat-Bulk
Functional: PBE
Structure: optimized geometry

Values from the calculation:
Total moment (μB per cell): 0.00
DFT total energy (eV per atom): -3.96
E_form (uncorrected) (eV per atom): -0.212

Lattice parameters (Å, degrees): 4.2958 7.1807 7.1137 120.86 107.57 90.00
Closest atoms and distances in Å follow each position.
Element x y z (fractional)
1 Te 0.1241 0.4722 0.2482  3 Pd 2.73-2.85, 1 Au 2.86
2 Te 0.8759 0.5278 0.7518  3 Pd 2.73-2.85, 1 Au 2.86
3 Te 0.3597 0.0286 0.7194  3 Pd 2.76-2.83, 2 Au 2.95
4 Te 0.6403 0.9714 0.2806  3 Pd 2.76-2.83, 2 Au 2.95
5 Pd 0.2553 0.2688 0.5107  6 Te 2.73-2.85, 1 Au 2.92
6 Pd 0.7447 0.7312 0.4893  6 Te 2.73-2.85, 1 Au 2.92
7 Au 0.0000 0.0000 0.0000  6 Te 2.86-2.95, 2 Pd 2.92

=====

Compound: Fe3TcPd12
Source: Alexandria via LeMat-Bulk
Functional: PBE
Structure: optimized geometry

Values from the calculation:
Calculated formation energy (eV/atom): -0.03
Total moment (μB per cell): 10.99
DFT total energy (eV per atom): -6.16

Lattice parameters (Å, degrees): 3.9137 3.9137 15.5271 90.00 90.00 90.00
Closest atoms and distances in Å follow each position.
Element x y z (fractional)
1 Fe 0.0000 0.0000 0.2523  12 Pd 2.74-2.77
2 Fe 0.0000 0.0000 0.5000  12 Pd 2.75-2.77
3 Fe 0.0000 0.0000 0.7477  12 Pd 2.74-2.77
4 Tc 0.0000 0.0000 0.0000  12 Pd 2.77
5 Pd 0.5000 0.5000 0.0000  4 Tc 2.77, 8 Pd 2.77
6 Pd 0.5000 0.5000 0.2510  8 Pd 2.75, 4 Fe 2.77
7 Pd 0.5000 0.5000 0.5000  8 Pd 2.75, 4 Fe 2.77
8 Pd 0.5000 0.5000 0.7490  8 Pd 2.75, 4 Fe 2.77
9 Pd 0.5000 0.0000 0.1264  8 Pd 2.75-2.77, 2 Fe 2.77, 2 Tc 2.77
10 Pd 0.5000 0.0000 0.3758  4 Fe 2.74-2.75, 8 Pd 2.75-2.77
11 Pd 0.5000 0.0000 0.6242  4 Fe 2.74-2.75, 8 Pd 2.75-2.77
12 Pd 0.5000 0.0000 0.8736  8 Pd 2.75-2.77, 2 Fe 2.77, 2 Tc 2.77
13 Pd 0.0000 0.5000 0.1264  8 Pd 2.75-2.77, 2 Fe 2.77, 2 Tc 2.77
14 Pd 0.0000 0.5000 0.3758  4 Fe 2.74-2.75, 8 Pd 2.75-2.77
15 Pd 0.0000 0.5000 0.6242  4 Fe 2.74-2.75, 8 Pd 2.75-2.77
16 Pd 0.0000 0.5000 0.8736  8 Pd 2.75-2.77, 2 Fe 2.77, 2 Tc 2.77

=====

Question: Look up the DFT total energy of the third one.
Answer: -6.16 eV per atom

=====

Question: Among the records above, which one has the highest total moment?
Answer: Fe3TcPd12